# HgBW3

A relaxed HgBW3 crystal (GGA-PBE, Alexandria via LeMat-Bulk).

Density of states at the Fermi level, states/eV/atom: 1.18
Spin magnetization, μB per atom: 0.00
E, eV per atom: -8.5969

a = 4.260 Å, b = 4.260 Å, c = 4.260 Å
α = 90.00°, β = 90.00°, γ = 90.00°
Positions (direct):
W 0.000 0.500 0.000
W 0.500 0.000 0.000
W 0.000 0.000 0.500
Hg 0.500 0.500 0.500
B 0.000 0.000 0.000